[1]
Compound: CrSnBr3
Source: the Alexandria database
Functional: PBE-GGA
Structure: relaxed

abc: 5.206 5.206 5.206
angles: 90.00 90.00 90.00
Site moments in Bohr magnetons follow the coordinates.
Atoms (fractional coordinates):
Cr  0.000  0.000  0.000  3.79
Sn  0.500  0.500  0.500  0.30
Br  0.000  0.500  0.000  -0.01
Br  0.000  0.000  0.500  -0.01
Br  0.500  0.000  0.000  -0.01

Computed properties:
The calculation puts the electronic total energy at -4.014 eV/atom. For the formation energy from raw total energies, the calculation gives -0.29 eV/atom. Its density of states at the Fermi level is 2.6 states/eV per cell. The size of the total moment comes out at 4.89 μB/f.u. As for the crystal system: cubic. The calculated density comes out at 4.8 Mg/m³. The symmetry is Pm-3m (221).

---

[2]
Compound: Zr6Cu5Os
Source: the Alexandria database
Functional: PBE-GGA
Structure: relaxed

abc: 4.638 6.584 7.316
angles: 90.00 108.22 90.00
Atoms (fractional coordinates):
Os  0.000  0.000  0.000
Cu  0.662  0.500  0.328
Cu  0.329  0.000  0.655
Cu  0.000  0.500  0.000
Cu  0.671  0.000  0.345
Cu  0.338  0.500  0.672
Zr  0.837  0.751  0.671
Zr  0.837  0.249  0.671
Zr  0.500  0.247  0.000
Zr  0.500  0.753  0.000
Zr  0.163  0.751  0.329
Zr  0.163  0.249  0.329

Computed properties:
The calculation puts the electronic total energy at -7.117 eV/atom. Its density of states at the Fermi level is 13.0 states/eV per cell. The size of the total moment comes out at 0.00 μB/f.u. As for the calculated formation energy: -0.200 eV per atom. As for the crystal system: monoclinic. The calculated density comes out at 8.3 Mg/m³. The symmetry is P2/m (10).

---

[3]
Compound: Zr2Zn15Pd2
Source: the Alexandria database
Functional: PBE-GGA
Structure: relaxed

abc: 6.681 6.681 6.681
angles: 82.61 82.61 82.61
Atoms (fractional coordinates):
Zr  0.338  0.338  0.338
Zr  0.662  0.662  0.662
Zn  0.000  0.500  0.000
Zn  0.000  0.000  0.500
Zn  0.500  0.000  0.000
Zn  0.707  0.000  0.293
Zn  0.293  0.707  0.000
Zn  0.000  0.293  0.707
Zn  0.707  0.293  0.000
Zn  0.000  0.707  0.293
Zn  0.293  0.000  0.707
Zn  0.643  0.159  0.643
Zn  0.643  0.643  0.159
Zn  0.159  0.643  0.643
Zn  0.357  0.841  0.357
Zn  0.357  0.357  0.841
Zn  0.841  0.357  0.357
Pd  0.111  0.111  0.111
Pd  0.889  0.889  0.889

Computed properties:
The calculation puts the electronic total energy at -2.684 eV/atom. Its density of states at the Fermi level is 6.9 states/eV per cell. The size of the total moment comes out at 0.00 μB/f.u. As for the calculated formation energy: -0.232 eV per atom. As for the crystal system: trigonal. The calculated density comes out at 7.8 Mg/m³. The symmetry is R-3m (166).

---

[4]
Compound: YGa4PdPt2
Source: the Alexandria database
Functional: PBE-GGA
Structure: relaxed

abc: 4.303 4.303 9.009
angles: 76.18 76.18 60.00
Atoms (fractional coordinates):
Y  0.000  0.000  0.000
Ga  0.397  0.397  0.809
Ga  0.869  0.869  0.394
Ga  0.131  0.131  0.606
Ga  0.603  0.603  0.191
Pd  0.500  0.500  0.500
Pt  0.756  0.756  0.731
Pt  0.244  0.244  0.269

Computed properties:
The calculation puts the electronic total energy at -5.183 eV/atom. Its density of states at the Fermi level is 3.2 states/eV per cell. The size of the total moment comes out at 0.00 μB/f.u. As for the calculated formation energy: -0.702 eV per atom. As for the crystal system: trigonal. The calculated density comes out at 10.3 Mg/m³. The symmetry is R-3m (166).